This record from Alexandria via LeMat-Bulk describes a crystal of KCuCO3F relaxed with PBEsol. The functional is meta-GGA SCAN.

Cell lengths 3.971, 5.048, 8.922 Å; angles 90.00, 90.00, 90.00 degrees
Atoms (fractional coordinates):
1 K 0.000 0.209 0.000
2 K 0.000 0.791 0.500
3 Cu 0.500 0.291 0.654
4 Cu 0.500 0.709 0.154
5 C 0.500 0.284 0.335
6 C 0.500 0.716 0.835
7 O 0.500 0.147 0.458
8 O 0.500 0.168 0.209
9 O 0.500 0.458 0.845
10 O 0.500 0.542 0.345
11 O 0.500 0.832 0.709
12 O 0.500 0.853 0.958
13 F 0.000 0.308 0.650
14 F 0.000 0.692 0.150

Properties
volume	179	Å³/cell
energy relative to the elements, uncorrected	-1132	kJ/mol of formula units
total energy	-9.656	eV/atom

This record from Alexandria via LeMat-Bulk describes a crystal of YCdSiN2 relaxed with PBEsol. The functional is meta-GGA SCAN.

Cell lengths 4.207, 4.207, 5.891 Å; angles 90.00, 90.00, 90.00 degrees
Atoms (fractional coordinates):
1 Y 0.000 0.000 0.000
2 Cd 0.000 0.000 0.500
3 Si 0.500 0.500 0.500
4 N 0.000 0.500 0.000
5 N 0.500 0.000 0.000

Properties
volume	104	Å³/cell
energy relative to the elements, uncorrected	600	kJ/mol of formula units
total energy	-16.126	eV/atom